TiZnCu2H: relaxed, PBE.

Output
The calculation puts the total energy at -4.18 eV/atom. Its mass density is 6.87 g cm⁻³. As for the total magnetic moment: 0.00 μB/cell.

a b c (Å): 3.940 3.940 3.756
angles (deg): 90.00 90.00 90.00
Fractional coordinates of all 5 atoms:
1 Ti 0.000 0.000 0.500
2 Cu 0.000 0.500 0.000
3 H 0.000 0.000 0.000
4 Cu 0.500 0.000 0.000
5 Zn 0.500 0.500 0.500